# TmTa

TmTa after structural relaxation (PBE-GGA, the Open Quantum Materials Database).

distance to the lowest polymorph of the same formula = 671.5 meV per atom
total moment = 0.1 μB/f.u.
space group = Fm-3m (225)
E = -6.651 eV per atom
ΔH_f (0 K) = 1.51 eV/atom

Cell: 4.141 4.141 4.141 Å, 60.00 60.00 60.00°
Positions (direct):
Tm 0.000 0.000 0.000
Ta 0.500 0.500 0.500


# TmUTa

TmUTa after structural relaxation (PBE-GGA, the Open Quantum Materials Database).

distance to the lowest polymorph of the same formula = 0.0 meV per atom
total moment = 3.1 μB/f.u.
space group = F-43m (216)
E = -7.745 eV per atom
ΔH_f (0 K) = 1.46 eV/atom

Cell: 4.772 4.772 4.772 Å, 60.00 60.00 60.00°
Positions (direct):
Tm 0.000 0.000 0.000
U 0.750 0.750 0.750
Ta 0.500 0.500 0.500


# TmTaW

TmTaW after structural relaxation (PBE-GGA, the Open Quantum Materials Database).

distance to the lowest polymorph of the same formula = 0.0 meV per atom
total moment = 0.0 μB/f.u.
space group = F-43m (216)
E = -9.021 eV per atom
ΔH_f (0 K) = 0.74 eV/atom

Cell: 4.579 4.579 4.579 Å, 60.00 60.00 60.00°
Positions (direct):
Tm 0.000 0.000 0.000
Ta 0.500 0.500 0.500
W 0.750 0.750 0.750


# TmTaW

TmTaW after structural relaxation (PBE-GGA, the Open Quantum Materials Database).

distance to the lowest polymorph of the same formula = 1100.9 meV per atom
total moment = 0.1 μB/f.u.
space group = F-43m (216)
E = -7.920 eV per atom
ΔH_f (0 K) = 1.84 eV/atom

Cell: 4.564 4.564 4.564 Å, 60.00 60.00 60.00°
Positions (direct):
Tm 0.000 0.000 0.000
Ta 0.750 0.750 0.750
W 0.250 0.250 0.250


# TmTaZn

TmTaZn after structural relaxation (PBE-GGA, the Open Quantum Materials Database).

distance to the lowest polymorph of the same formula = 745.7 meV per atom
total moment = 2.3 μB/f.u.
space group = F-43m (216)
E = -4.564 eV per atom
ΔH_f (0 K) = 1.30 eV/atom

Cell: 4.720 4.720 4.720 Å, 60.00 60.00 60.00°
Positions (direct):
Tm 0.000 0.000 0.000
Ta 0.750 0.750 0.750
Zn 0.250 0.250 0.250


# TmTaZn

TmTaZn after structural relaxation (PBE-GGA, the Open Quantum Materials Database).

distance to the lowest polymorph of the same formula = 0.0 meV per atom
total moment = 0.1 μB/f.u.
space group = F-43m (216)
E = -5.310 eV per atom
ΔH_f (0 K) = 0.55 eV/atom

Cell: 4.538 4.538 4.538 Å, 60.00 60.00 60.00°
Positions (direct):
Tm 0.000 0.000 0.000
Ta 0.500 0.500 0.500
Zn 0.750 0.750 0.750


# UTa

UTa after structural relaxation (PBE-GGA, the Open Quantum Materials Database).

distance to the lowest polymorph of the same formula = 894.6 meV per atom
total moment = 0.4 μB/f.u.
space group = Fm-3m (225)
E = -10.299 eV per atom
ΔH_f (0 K) = 1.28 eV/atom

Cell: 3.980 3.980 3.980 Å, 60.00 60.00 60.00°
Positions (direct):
U 0.000 0.000 0.000
Ta 0.500 0.500 0.500


# UTa2

UTa2 after structural relaxation (PBE-GGA, the Open Quantum Materials Database).

total moment = 0.1 μB/f.u.
space group = Fd-3m (227)
E = -7.747 eV per atom
ΔH_f (0 K) = 3.92 eV/atom

Cell: 7.985 7.985 7.985 Å, 60.00 60.00 60.00°
Positions (direct):
U 0.125 0.125 0.125
U 0.875 0.875 0.875
Ta 0.000 0.000 0.000
Ta 0.000 0.000 0.500
Ta 0.000 0.500 0.000
Ta 0.500 0.000 0.000


> Which value of ΔH_f (0 K) does entry 8 give?

3.92 eV/atom


> What is the ΔH_f (0 K) in the fifth record?

1.30 eV/atom


> The lowest total moment belongs to which entry?

number 3